## SrMgCr2O8 (PBE+U)

Data for a relaxed structure of SrMgCr2O8.

Geometry as CIF:
```
data_SrMgCr2O8
_chemical_formula_sum 'Sr1 Mg1 Cr2 O8'
_cell_length_a 5.4976
_cell_length_b 5.4976
_cell_length_c 6.9460
_cell_angle_alpha 90.00
_cell_angle_beta 90.00
_cell_angle_gamma 120.00
_symmetry_space_group_name_H-M 'P -3 m 1'
_symmetry_Int_Tables_number 164
_symmetry_space_group_name_Hall '-P 3 2"'
loop_
_atom_site_label
_atom_site_fract_x
_atom_site_fract_y
_atom_site_fract_z
Sr1 0.0000 0.0000 0.0000
Mg1 0.0000 0.0000 0.5000
Cr1 0.3333 0.6667 0.7679
O1 0.1664 0.3329 0.6940
O2 0.3333 0.6667 0.0043
```

Values from the calculation:
- total magnetic moment (Bohr magnetons per cell) = 0.00
- VASP energy (eV/atom) = -6.697
- V (Å³ per cell) = 181.8